# GGA-PBE HoBeIr, optimized geometry
# Total magnetization in Bohr magnetons per cell: 0.0
# Calculated formation energy in eV/f.u.: -1.8
# Theoretical density in g cm⁻³: 12.59
# Offset from the most stable computed form in eV per atom: 0.079
# V in A^3/atom: 16.10
# SG: No. 74
data_HoBeIr
_cell_length_a 5.096
_cell_length_b 5.096
_cell_length_c 5.096
_cell_angle_alpha 120.65
_cell_angle_beta 113.98
_cell_angle_gamma 94.81
_symmetry_space_group_name_H-M 'P 1'
_symmetry_Int_Tables_number 1
_symmetry_space_group_name_Hall 'P 1'
loop_
_atom_site_label
_atom_site_type_symbol
_atom_site_fract_x
_atom_site_fract_y
_atom_site_fract_z
Ho1 Ho 0.375 0.125 0.250
Ho2 Ho 0.625 0.875 0.750
Be1 Be 0.000 0.000 0.500
Be2 Be 0.000 0.500 0.000
Ir1 Ir 0.000 0.500 0.500
Ir2 Ir 0.500 0.500 0.000

=====

# GGA-PBE Cd2TePb, optimized geometry
# Total magnetization in Bohr magnetons per cell: 0.0
# Theoretical density in g cm⁻³: 7.82
# Offset from the most stable computed form in eV per atom: 0.068
# V in A^3/atom: 29.73
# ΔE_f (raw) in eV/atom: -0.002
# SG: No. 139
data_Cd2TePb
_cell_length_a 6.718
_cell_length_b 6.718
_cell_length_c 6.718
_cell_angle_alpha 141.04
_cell_angle_beta 141.04
_cell_angle_gamma 56.28
_symmetry_space_group_name_H-M 'P 1'
_symmetry_Int_Tables_number 1
_symmetry_space_group_name_Hall 'P 1'
loop_
_atom_site_label
_atom_site_type_symbol
_atom_site_fract_x
_atom_site_fract_y
_atom_site_fract_z
Cd1 Cd 0.250 0.750 0.500
Cd2 Cd 0.750 0.250 0.500
Te1 Te 0.000 0.000 0.000
Pb1 Pb 0.500 0.500 0.000

=====

# GGA-PBE GdPbO2, optimized geometry
# Total magnetization in Bohr magnetons per cell: 7.5
# Theoretical density in g cm⁻³: 7.31
# V in A^3/atom: 22.51
# ΔE_f (raw) in eV/atom: -1.416
# SG: No. 166
data_GdPbO2
_cell_length_a 7.324
_cell_length_b 7.324
_cell_length_c 7.324
_cell_angle_alpha 30.56
_cell_angle_beta 30.56
_cell_angle_gamma 30.56
_symmetry_space_group_name_H-M 'P 1'
_symmetry_Int_Tables_number 1
_symmetry_space_group_name_Hall 'P 1'
loop_
_atom_site_label
_atom_site_type_symbol
_atom_site_fract_x
_atom_site_fract_y
_atom_site_fract_z
Gd1 Gd 0.000 0.000 0.000
Pb1 Pb 0.500 0.500 0.500
O1 O 0.101 0.101 0.101
O2 O 0.899 0.899 0.899

=====

# GGA-PBE PmPa2Si, optimized geometry
# Total magnetization in Bohr magnetons per cell: 0.0
# Theoretical density in g cm⁻³: 11.20
# Offset from the most stable computed form in eV per atom: 0.000
# V in A^3/atom: 23.54
# ΔE_f (raw) in eV/atom: -0.112
# SG: No. 123
data_PmPa2Si
_cell_length_a 4.372
_cell_length_b 4.372
_cell_length_c 4.926
_cell_angle_alpha 90.00
_cell_angle_beta 90.00
_cell_angle_gamma 90.00
_symmetry_space_group_name_H-M 'P 1'
_symmetry_Int_Tables_number 1
_symmetry_space_group_name_Hall 'P 1'
loop_
_atom_site_label
_atom_site_type_symbol
_atom_site_fract_x
_atom_site_fract_y
_atom_site_fract_z
Pm1 Pm 0.000 0.000 0.000
Pa1 Pa 0.000 0.500 0.500
Pa2 Pa 0.500 0.000 0.500
Si1 Si 0.500 0.500 0.000

=====

# GGA-PBE Li2CuTe, optimized geometry
# Total magnetization in Bohr magnetons per cell: 0.0
# Theoretical density in g cm⁻³: 4.25
# V in A^3/atom: 20.03
# ΔE_f (raw) in eV/atom: -0.081
# SG: No. 166
data_Li2CuTe
_cell_length_a 7.751
_cell_length_b 7.751
_cell_length_c 7.751
_cell_angle_alpha 26.23
_cell_angle_beta 26.23
_cell_angle_gamma 26.23
_symmetry_space_group_name_H-M 'P 1'
_symmetry_Int_Tables_number 1
_symmetry_space_group_name_Hall 'P 1'
loop_
_atom_site_label
_atom_site_type_symbol
_atom_site_fract_x
_atom_site_fract_y
_atom_site_fract_z
Li1 Li 0.244 0.244 0.244
Li2 Li 0.756 0.756 0.756
Cu1 Cu 0.500 0.500 0.500
Te1 Te 0.000 0.000 0.000

=====

# GGA-PBE CrHgPd14, optimized geometry
# Total magnetization in Bohr magnetons per cell: 1.4
# Calculated formation energy in eV/f.u.: -0.6
# Theoretical density in g cm⁻³: 11.59
# V in A^3/atom: 15.61
# SG: No. 123
data_CrHgPd14
_cell_length_a 5.638
_cell_length_b 5.638
_cell_length_c 7.856
_cell_angle_alpha 90.00
_cell_angle_beta 90.00
_cell_angle_gamma 90.00
_symmetry_space_group_name_H-M 'P 1'
_symmetry_Int_Tables_number 1
_symmetry_space_group_name_Hall 'P 1'
loop_
_atom_site_label
_atom_site_type_symbol
_atom_site_fract_x
_atom_site_fract_y
_atom_site_fract_z
Cr1 Cr 0.000 0.000 0.000
Hg1 Hg 0.500 0.500 0.000
Pd1 Pd 0.000 0.000 0.500
Pd2 Pd 0.000 0.500 0.000
Pd3 Pd 0.000 0.500 0.500
Pd4 Pd 0.245 0.245 0.250
Pd5 Pd 0.245 0.245 0.750
Pd6 Pd 0.245 0.755 0.250
Pd7 Pd 0.245 0.755 0.750
Pd8 Pd 0.500 0.000 0.000
Pd9 Pd 0.500 0.000 0.500
Pd10 Pd 0.500 0.500 0.500
Pd11 Pd 0.755 0.245 0.250
Pd12 Pd 0.755 0.245 0.750
Pd13 Pd 0.755 0.755 0.250
Pd14 Pd 0.755 0.755 0.750

=====

# GGA-PBE MgPt2Se2, optimized geometry
# Total magnetization in Bohr magnetons per cell: 0.0
# Theoretical density in g cm⁻³: 9.60
# V in A^3/atom: 19.80
# ΔE_f (raw) in eV/atom: -0.040
# SG: No. 139
data_MgPt2Se2
_cell_length_a 7.316
_cell_length_b 7.316
_cell_length_c 7.316
_cell_angle_alpha 149.77
_cell_angle_beta 149.77
_cell_angle_gamma 43.28
_symmetry_space_group_name_H-M 'P 1'
_symmetry_Int_Tables_number 1
_symmetry_space_group_name_Hall 'P 1'
loop_
_atom_site_label
_atom_site_type_symbol
_atom_site_fract_x
_atom_site_fract_y
_atom_site_fract_z
Mg1 Mg 0.000 0.000 0.000
Pt1 Pt 0.250 0.750 0.500
Pt2 Pt 0.750 0.250 0.500
Se1 Se 0.390 0.390 0.000
Se2 Se 0.610 0.610 0.000

=====

# GGA-PBE KSrBe2, optimized geometry
# Total magnetization in Bohr magnetons per cell: 0.0
# Calculated formation energy in eV/f.u.: 3.6
# Theoretical density in g cm⁻³: 2.13
# Offset from the most stable computed form in eV per atom: 0.404
# V in A^3/atom: 28.22
# SG: No. 123
data_KSrBe2
_cell_length_a 5.458
_cell_length_b 5.458
_cell_length_c 3.789
_cell_angle_alpha 90.00
_cell_angle_beta 90.00
_cell_angle_gamma 90.00
_symmetry_space_group_name_H-M 'P 1'
_symmetry_Int_Tables_number 1
_symmetry_space_group_name_Hall 'P 1'
loop_
_atom_site_label
_atom_site_type_symbol
_atom_site_fract_x
_atom_site_fract_y
_atom_site_fract_z
K1 K 0.000 0.000 0.000
Sr1 Sr 0.500 0.500 0.000
Be1 Be 0.000 0.500 0.500
Be2 Be 0.500 0.000 0.500

=====

Which value of theoretical density does entry 8 give?
2.13 g cm⁻³

=====

Number 1 is which compound?
HoBeIr